No. 1
Density functional theory data (GGA-PBE) for a geometry-optimized In2CuSe3Br structure.

Summary:
Density   4.90 g/cm³
VASP energy   -25.12 eV per cell

Unit cell a=5.8710 b=5.9716 c=7.1484 alpha=113.92 beta=112.09 gamma=92.17
Last column: nearest neighbours and their distance in Å.
Positions (direct):
Se1 0.8306 0.8635 0.2500  1 Cu 2.40, 2 In 2.62
Se2 0.3926 0.3582 0.2609  1 Cu 2.38, 2 In 2.62-2.63
Se3 0.6287 0.1565 0.7302  1 Cu 2.37, 2 In 2.61-2.62
In1 0.9620 0.0244 0.0057  3 Se 2.61-2.63, 1 Br 2.75
In2 0.2515 0.7621 0.4653  3 Se 2.62, 1 Br 2.76
Cu1 0.5661 0.4476 0.0402  3 Se 2.37-2.40
Br1 0.1187 0.6378 0.7479  2 In 2.75-2.76

No. 2
Density functional theory data (GGA-PBE) for a geometry-optimized Nb3SnS structure.

Summary:
Energy above the most stable polymorph in this dataset   0 meV per atom
Density   7.51 g/cm³
VASP energy   -80.75 eV per cell
DOS(E_F)   5.11 states/eV per cell

Unit cell a=5.9304 b=5.9300 c=7.3446 alpha=84.32 beta=58.25 gamma=61.93
Last column: nearest neighbours and their distance in Å.
Positions (direct):
Nb1 0.4448 0.0257 0.4354  2 S 2.55, 2 Nb 2.81
Nb2 0.4761 0.1736 0.0507  2 S 2.56-2.57, 1 Nb 2.81
Nb3 0.4487 0.5241 0.4288  2 S 2.56-2.57, 1 Nb 2.81
Nb4 0.9777 0.6723 0.0504  2 S 2.56-2.57, 1 Nb 2.81
Nb5 0.9816 0.1707 0.0437  2 S 2.55, 2 Nb 2.81
Nb6 0.9503 0.0228 0.4284  2 S 2.56-2.57, 1 Nb 2.81
Sn1 0.9194 0.5323 0.4672  8 Nb 2.97-3.06
Sn2 0.5070 0.6642 0.0120  8 Nb 2.97-3.06
S1 0.0405 0.9270 0.7405  6 Nb 2.55-2.57
S2 0.3859 0.2694 0.7386  6 Nb 2.55-2.57

No. 3
Density functional theory data (GGA-PBE) for a geometry-optimized TlZnAgF4 structure.

Summary:
Density   5.65 g/cm³
VASP energy   -52.31 eV per cell
DOS(E_F)   0.00 states/eV per cell

Unit cell a=6.5032 b=6.0773 c=6.9997 alpha=90.00 beta=105.49 gamma=90.00
Last column: nearest neighbours and their distance in Å.
Positions (direct):
Tl1 0.7453 0.7500 0.9460  4 F 2.54-2.83
Tl2 0.2547 0.2500 0.0540  4 F 2.54-2.83
F1 0.5542 0.2500 0.8448  1 Zn 1.93
F2 0.5009 0.2500 0.4038  1 Zn 1.91
F3 0.0745 0.9884 0.3017  1 Zn 1.95
F4 0.9255 0.4884 0.6983  1 Zn 1.95
F5 0.4458 0.7500 0.1552  1 Zn 1.93
F6 0.4991 0.7500 0.5962  1 Zn 1.91
F7 0.9255 0.0116 0.6983  1 Zn 1.95
F8 0.0745 0.5116 0.3017  1 Zn 1.95
Ag1 0.8013 0.7500 0.4138  6 F 2.51-2.61
Ag2 0.1987 0.2500 0.5862  6 F 2.51-2.61
Zn1 0.7170 0.2500 0.6504  4 F 1.91-1.95
Zn2 0.2830 0.7500 0.3496  4 F 1.91-1.95

No. 4
Density functional theory data (GGA-PBE) for a geometry-optimized SrY2FeBr structure.

Summary:
Density   4.10 g/cm³
VASP energy   -25.24 eV per cell
DOS(E_F)   7.39 states/eV per cell

Unit cell a=4.9739 b=6.5599 c=4.9739 alpha=90.00 beta=90.00 gamma=90.00
Last column: nearest neighbours and their distance in Å.
Positions (direct):
Y1 0.5000 0.0000 0.0000  2 Fe 2.49
Y2 0.0000 0.0000 0.5000  2 Fe 2.49
Br1 0.5000 0.5000 0.5000  4 Sr 3.52
Fe1 0.0000 0.0000 0.0000  4 Y 2.49
Sr1 0.0000 0.5000 0.0000  2 Fe 3.28, 4 Br 3.52